--- i ---
## NpVS2 (GGA-PBE)

Data for a relaxed structure of NpVS2.

Properties
* total magnetization: 1.08 μB/atom
* symmetry: R-3m

a b c (Å): 3.122 3.122 8.814
angles (deg): 79.80 79.80 60.00
Sites, in units of the cell vectors:
Np: 0.000 0.000 0.000
S: 0.108 0.108 0.675
S: 0.892 0.892 0.325
V: 0.500 0.500 0.500



--- ii ---
## NpVS2 (GGA-PBE)

Data for a relaxed structure of NpVS2.

Properties
* total magnetization: 2.00 μB/atom
* symmetry: R3m

a b c (Å): 4.059 4.058 7.198
angles (deg): 73.63 73.63 59.99
Sites, in units of the cell vectors:
Np: 0.730 0.175 0.709
V: 0.247 0.692 0.158
S: 0.129 0.574 0.512
S: 0.599 0.044 0.100



Stability, descending: ii, i



--- i ---
## YNp2S4 (GGA-PBE)

Data for a relaxed structure of YNp2S4.

Properties
* total magnetization: 1.24 μB/atom
* symmetry: Cmcm

a b c (Å): 3.816 6.759 13.110
angles (deg): 90.00 90.00 106.40
Sites, in units of the cell vectors:
Y: 0.622 0.243 0.750
Y: 0.378 0.757 0.250
Np: 0.133 0.267 0.432
Np: 0.867 0.733 0.932
Np: 0.133 0.267 0.068
Np: 0.867 0.733 0.568
S: 0.777 0.554 0.125
S: 0.777 0.554 0.375
S: 0.223 0.446 0.875
S: 0.223 0.446 0.625
S: 0.969 0.938 0.750
S: 0.031 0.062 0.250
S: 0.500 0.000 0.000
S: 0.500 0.000 0.500



--- ii ---
## YNp2S4 (GGA-PBE)

Data for a relaxed structure of YNp2S4.

Properties
* total magnetization: 1.27 μB/atom
* symmetry: Pbam

a b c (Å): 4.086 7.044 11.076
angles (deg): 90.00 90.00 90.00
Sites, in units of the cell vectors:
Y: 0.000 0.000 0.500
Y: 0.000 0.500 0.000
Np: 0.500 0.895 0.812
Np: 0.500 0.105 0.188
Np: 0.500 0.395 0.688
Np: 0.500 0.605 0.312
S: 0.000 0.628 0.774
S: 0.000 0.372 0.226
S: 0.000 0.128 0.726
S: 0.000 0.872 0.274
S: 0.500 0.747 0.550
S: 0.500 0.253 0.450
S: 0.500 0.753 0.050
S: 0.500 0.247 0.950



Stability, descending: ii, i



--- i ---
## YNp2S6 (GGA-PBE)

Data for a relaxed structure of YNp2S6.

Properties
* total magnetization: 0.56 μB/atom
* symmetry: P-3

a b c (Å): 4.190 7.164 7.164
angles (deg): 120.00 90.00 90.00
Sites, in units of the cell vectors:
Y: 0.500 0.000 0.000
Np: 0.288 0.667 0.333
Np: 0.712 0.333 0.667
S: 0.238 0.616 0.696
S: 0.238 0.080 0.384
S: 0.238 0.304 0.920
S: 0.762 0.384 0.304
S: 0.762 0.920 0.616
S: 0.762 0.696 0.080



--- ii ---
## YNp2S6 (GGA-PBE)

Data for a relaxed structure of YNp2S6.

Properties
* total magnetization: 0.56 μB/atom
* symmetry: C2/m

a b c (Å): 5.104 7.153 7.559
angles (deg): 73.09 70.27 69.10
Sites, in units of the cell vectors:
Y: 0.000 0.500 0.500
Np: 0.182 0.742 0.893
Np: 0.818 0.258 0.107
S: 0.742 0.638 0.878
S: 0.258 0.362 0.122
S: 0.960 0.856 0.223
S: 0.371 0.707 0.551
S: 0.040 0.144 0.777
S: 0.629 0.293 0.449



Stability, descending: i, ii